The following is a PBE calculation of a relaxed BaHgB crystal, from the Open Quantum Materials Database.

CIF file:
```
data_BaHgB
_cell_length_a 6.857
_cell_length_b 6.857
_cell_length_c 6.857
_cell_angle_alpha 90.00
_cell_angle_beta 90.00
_cell_angle_gamma 90.00
_space_group_name_H-M_alt 'F -4 3 m'
_space_group_IT_number 216
_space_group_name_Hall 'F -4 2 3'
loop_
_atom_site_label
_atom_site_fract_x
_atom_site_fract_y
_atom_site_fract_z
Ba1 0.000 0.000 0.000
Hg1 0.000 0.000 0.500
B1 0.250 0.250 0.250
```

Results
Distance to the lowest polymorph of the same formula   0.000 eV per atom
DFT total energy   -28.5 eV for the cell shown